[1]
A plane-wave DFT calculation with PBEsol was carried out for a relaxed structure of TeMoRh2.

Formation energy without anion corrections   0.10 eV/atom
D(E_F)   0.870 states/eV per atom
Volume   15.77 Å³/atom

a b c (Å): 9.011 3.063 4.630
angles (deg): 90.00 99.07 90.00
Space group C2/m (No. 12)
Asymmetric unit:
Te  0.000  0.000  0.000 [2 per cell]
Mo  0.000  0.500  0.500 [2 per cell]
Rh  0.243  0.000  0.732 [4 per cell]



[2]
A plane-wave DFT calculation with PBEsol was carried out for a relaxed structure of Zn2TeBr.

Energy above the lowest structure with this stoichiometry   0.010 eV per atom
Formation energy without anion corrections   -0.09 eV/atom
D(E_F)   0.273 states/eV per atom
Volume   24.05 Å³/atom

a b c (Å): 3.733 3.844 13.412
angles (deg): 90.00 90.00 90.00
Space group Imm2 (No. 44)
Asymmetric unit:
Zn  0.000  0.000  0.000 [2 per cell]
Zn  0.000  0.500  0.201 [2 per cell]
Te  0.000  0.000  0.540 [2 per cell]
Br  0.000  0.500  0.784 [2 per cell]



[3]
A plane-wave DFT calculation with PBEsol was carried out for a relaxed structure of BeSiRh2.

Energy above the lowest structure with this stoichiometry   0.405 eV per atom
Formation energy without anion corrections   -0.47 eV/atom
D(E_F)   0.790 states/eV per atom
Volume   11.93 Å³/atom

a b c (Å): 3.417 3.417 8.172
angles (deg): 90.00 90.00 90.00
Space group I-4m2 (No. 119)
Asymmetric unit:
Be  0.000  0.000  0.000 [2 per cell]
Si  0.000  0.500  0.750 [2 per cell]
Rh  0.000  0.000  0.500 [2 per cell]
Rh  0.000  0.500  0.250 [2 per cell]



[4]
A plane-wave DFT calculation with PBEsol was carried out for a relaxed structure of ScTa2Be.

ΔH_f (0 K)   0.24 eV per atom
D(E_F)   0.998 states/eV per atom
Volume   16.74 Å³/atom

a b c (Å): 3.258 4.358 4.716
angles (deg): 90.00 90.00 90.00
Space group Pmmm (No. 47)
Asymmetric unit:
Sc  0.000  0.000  0.000 [1 per cell]
Ta  0.000  0.500  0.500 [1 per cell]
Ta  0.500  0.000  0.500 [1 per cell]
Be  0.500  0.500  0.000 [1 per cell]



[5]
A plane-wave DFT calculation with PBEsol was carried out for a relaxed structure of SbP4O12.

Energy above the lowest structure with this stoichiometry   0.002 eV per atom
Formation energy without anion corrections   -1.90 eV/atom
D(E_F)   0.000 states/eV per atom
Volume   13.83 Å³/atom

a b c (Å): 7.171 7.731 9.915
angles (deg): 95.52 108.18 111.89
Space group P-1 (No. 2)
Asymmetric unit:
Sb  0.000  0.000  0.000 [1 per cell]
Sb  0.000  0.500  0.500 [1 per cell]
P  0.021  0.162  0.695 [2 per cell]
P  0.277  0.214  0.511 [2 per cell]
P  0.291  0.762  0.038 [2 per cell]
P  0.487  0.823  0.814 [2 per cell]
O  0.016  0.353  0.689 [2 per cell]
O  0.082  0.138  0.854 [2 per cell]
O  0.118  0.290  0.430 [2 per cell]
O  0.118  0.824  0.943 [2 per cell]
O  0.196  0.135  0.643 [2 per cell]
O  0.206  0.005  0.404 [2 per cell]
O  0.232  0.607  0.110 [2 per cell]
O  0.286  0.176  0.153 [2 per cell]
O  0.332  0.723  0.663 [2 per cell]
O  0.405  0.724  0.930 [2 per cell]
O  0.484  0.963  0.149 [2 per cell]
O  0.488  0.681  0.431 [2 per cell]



[6]
A plane-wave DFT calculation with PBEsol was carried out for a relaxed structure of CsTh2P3O12.

Formation energy without anion corrections   -2.91 eV/atom
D(E_F)   0.000 states/eV per atom
Volume   13.75 Å³/atom

a b c (Å): 17.932 6.961 8.143
angles (deg): 90.00 103.07 90.00
Space group C2/c (No. 15)
Asymmetric unit:
Cs  0.000  0.090  0.250 [4 per cell]
Th  0.155  0.406  0.032 [8 per cell]
P  0.000  0.409  0.750 [4 per cell]
P  0.193  0.092  0.680 [8 per cell]
O  0.028  0.290  0.912 [8 per cell]
O  0.072  0.470  0.243 [8 per cell]
O  0.147  0.094  0.146 [8 per cell]
O  0.156  0.258  0.568 [8 per cell]
O  0.205  0.153  0.870 [8 per cell]
O  0.222  0.447  0.330 [8 per cell]



[7]
A plane-wave DFT calculation with PBEsol was carried out for a relaxed structure of Sr2GdBeO5.

Formation energy without anion corrections   -2.82 eV/atom
D(E_F)   0.505 states/eV per atom
Volume   12.37 Å³/atom

a b c (Å): 9.473 7.266 6.471
angles (deg): 90.00 90.00 90.00
Space group Pnma (No. 62)
Asymmetric unit:
Sr  0.174  0.024  0.090 [8 per cell]
Gd  0.025  0.250  0.590 [4 per cell]
Be  0.100  0.750  0.815 [4 per cell]
O  0.010  0.750  0.035 [4 per cell]
O  0.062  0.561  0.687 [8 per cell]
O  0.212  0.750  0.336 [4 per cell]
O  0.228  0.250  0.381 [4 per cell]



[8]
A plane-wave DFT calculation with PBEsol was carried out for a relaxed structure of Nb4FeC2S4.

Formation energy without anion corrections   -0.87 eV/atom
D(E_F)   0.406 states/eV per atom
Volume   13.78 Å³/atom

a b c (Å): 5.653 3.297 8.357
angles (deg): 90.00 103.28 90.00
Space group P2/m (No. 10)
Asymmetric unit:
Nb  0.115  0.000  0.359 [2 per cell]
Nb  0.380  0.500  0.643 [2 per cell]
Fe  0.000  0.000  0.000 [1 per cell]
C  0.000  0.500  0.500 [1 per cell]
C  0.500  0.000  0.500 [1 per cell]
S  0.214  0.500  0.149 [2 per cell]
S  0.284  0.000  0.848 [2 per cell]



[9]
A plane-wave DFT calculation with PBEsol was carried out for a relaxed structure of ZrGaAsBr2.

Formation energy without anion corrections   -0.41 eV/atom
D(E_F)   0.558 states/eV per atom
Volume   28.75 Å³/atom

a b c (Å): 5.253 5.253 5.209
angles (deg): 90.00 90.00 90.00
Space group P4/mmm (No. 123)
Asymmetric unit:
Zr  0.000  0.000  0.000 [1 per cell]
Ga  0.500  0.500  0.500 [1 per cell]
As  0.000  0.000  0.500 [1 per cell]
Br  0.000  0.500  0.000 [2 per cell]



[10]
A plane-wave DFT calculation with PBEsol was carried out for a relaxed structure of RuPbBr2.

Energy above the lowest structure with this stoichiometry   0.549 eV per atom
Formation energy without anion corrections   0.62 eV/atom
D(E_F)   1.116 states/eV per atom
Volume   22.64 Å³/atom

a b c (Å): 4.270 4.270 9.933
angles (deg): 90.00 90.00 90.00
Space group I-4m2 (No. 119)
Asymmetric unit:
Ru  0.000  0.000  0.000 [2 per cell]
Pb  0.000  0.500  0.750 [2 per cell]
Br  0.000  0.000  0.500 [2 per cell]
Br  0.000  0.500  0.250 [2 per cell]



[11]
A plane-wave DFT calculation with PBEsol was carried out for a relaxed structure of ZnPSeN2.

Formation energy without anion corrections   0.54 eV/atom
D(E_F)   0.421 states/eV per atom
Volume   13.51 Å³/atom

a b c (Å): 3.381 3.381 5.912
angles (deg): 90.00 90.00 90.00
Space group P4/mmm (No. 123)
Asymmetric unit:
Zn  0.000  0.000  0.000 [1 per cell]
P  0.500  0.500  0.500 [1 per cell]
Se  0.500  0.500  0.000 [1 per cell]
N  0.000  0.500  0.500 [2 per cell]



[12]
A plane-wave DFT calculation with PBEsol was carried out for a relaxed structure of LiMgCd2.

ΔH_f (0 K)   -0.20 eV per atom
D(E_F)   0.342 states/eV per atom
Volume   19.22 Å³/atom

a b c (Å): 3.126 4.802 5.122
angles (deg): 90.00 90.00 90.00
Space group Pmm2 (No. 25)
Asymmetric unit:
Li  0.000  0.000  0.000 [1 per cell]
Mg  0.000  0.500  0.362 [1 per cell]
Cd  0.500  0.000  0.512 [1 per cell]
Cd  0.500  0.500  0.867 [1 per cell]